Material: SrMgCoF6
Method: DFT, PBE with a Hubbard U
State: relaxed

Computed properties:
For the density of states at the Fermi level, the calculation gives 0.0 states/eV/cell. The energy comes out at -5.39 eV/atom.

Cell lengths 5.366, 5.366, 10.445 Å; angles 90.00, 90.00, 120.00 degrees
Atoms (fractional coordinates):
Sr: 0.000 0.000 0.000
Sr: 0.000 0.000 0.500
Mg: 0.333 0.667 0.250
Mg: 0.667 0.333 0.750
Co: 0.333 0.667 0.750
Co: 0.667 0.333 0.250
F: 0.007 0.366 0.144
F: 0.007 0.641 0.356
F: 0.359 0.366 0.356
F: 0.359 0.993 0.144
F: 0.366 0.007 0.644
F: 0.366 0.359 0.856
F: 0.634 0.641 0.144
F: 0.634 0.993 0.356
F: 0.641 0.007 0.856
F: 0.641 0.634 0.644
F: 0.993 0.359 0.644
F: 0.993 0.634 0.856